The following is a PBE-GGA calculation of a relaxed Nb5Cr3Se20 crystal, from the Alexandria database.

ρ	5.5	Mg/m³
total energy	-166.4	eV/cell
uncorrected formation energy	-0.626	eV/atom
symmetry	Pm (6)

a b c (Å): 3.535 9.770 19.085
angles (deg): 86.78 90.00 90.00
Positions (direct):
Se: 0.500 0.550 0.076
Cr: 0.500 0.627 0.950
Se: 0.000 0.444 0.632
Se: 0.500 0.083 0.755
Nb: 0.000 0.914 0.821
Se: 0.500 0.711 0.822
Cr: 0.000 0.375 0.052
Se: 0.500 0.550 0.373
Se: 0.000 0.928 0.415
Se: 0.500 0.703 0.550
Se: 0.500 0.081 0.879
Se: 0.000 0.811 0.958
Se: 0.500 0.560 0.248
Se: 0.500 0.086 0.576
Se: 0.500 0.191 0.043
Se: 0.000 0.439 0.756
Nb: 0.500 0.610 0.690
Cr: 0.500 0.104 0.445
Se: 0.000 0.285 0.451
Nb: 0.000 0.387 0.313
Se: 0.000 0.288 0.181
Se: 0.500 0.183 0.315
Se: 0.000 0.921 0.119
Nb: 0.500 0.085 0.179
Se: 0.000 0.913 0.244
Se: 0.000 0.815 0.686
Se: 0.000 0.452 0.926
Nb: 0.000 0.905 0.544